La2Pm7Tm3 (PBE-GGA, optimized geometry); energy above the most stable polymorph in this dataset = 0.64 eV/f.u.; total magnetic moment = 0.00 μB per formula unit; energy of formation from the pure elements = 121 meV/atom; space-group type = Cmmm, No. 65
1.0
2.912 -19.226 0.000
2.912 19.226 0.000
0.000 0.000 3.660
La Pm Tm
2 7 3
direct
0.149 0.851 0.000
0.851 0.149 0.000
0.000 0.000 0.000
0.071 0.929 0.500
0.232 0.768 0.000
0.411 0.589 0.000
0.589 0.411 0.000
0.768 0.232 0.000
0.929 0.071 0.500
0.314 0.686 0.500
0.500 0.500 0.500
0.686 0.314 0.500